Hg2TeIr | PBE | optimized geometry

Cell lengths 5.4819, 5.4819, 3.1530 Å; angles 90.00, 90.00, 116.38 degrees
Last column: nearest neighbours and their distance in Å.
Atoms (fractional coordinates):
Hg 0.0000 0.5000 0.0000  4 Hg 2.89-3.15, 4 Ir 3.16, 4 Te 3.16
Hg 0.5000 0.0000 0.0000  4 Hg 2.89-3.15, 4 Ir 3.16, 4 Te 3.16
Te 0.0000 0.0000 0.5000  2 Ir 2.89, 2 Te 3.15, 8 Hg 3.16
Ir 0.5000 0.5000 0.5000  2 Te 2.89, 2 Ir 3.15, 8 Hg 3.16

Values from the calculation:
- formation energy (no corrections) (kJ/mol of formula units) = 229
- crystal system = orthorhombic
- volume (Å³/f.u.) = 84.9
- total DFT energy (no corrections) (eV/f.u.) = -10.23
- DOS at the Fermi energy (states/eV/f.u.) = 1.67
- M_tot (Bohr magnetons per cell) = 0.0